Compound: YTmCo2C2
Source: the Open Quantum Materials Database
Functional: PBE-GGA
Structure: relaxed

Cell and atoms, written as extended XYZ:
```
6
Lattice="3.603 0.000 0.000 0.000 3.603 0.000 0.000 0.000 6.847" Properties=species:S:1:pos:R:3 pbc="T T T"
C 1.802 0.000 1.676
C 0.000 1.802 5.171
Co 1.802 1.802 1.655
Co 1.802 1.802 5.193
Tm 0.000 0.000 0.000
Y 0.000 0.000 3.424
```

## Properties
The total energy comes out at -45.59 eV for the cell shown. As for the space group: P-4m2, No. 115. The calculation puts the calculated volume at 14.818 Å³ per atom.